Density functional theory data (GGA-PBE) for a geometry-optimized TmScBiSb structure.

Output
Theoretical density ... 8.00 Mg/m³
Formation energy from raw total energies ... -0.83 eV/atom
Crystal system ... tetragonal
Magnetic moment ... 0.0 μB/cell
Electronic total energy ... -5.535 eV per atom

Lattice parameters (Å, degrees): 4.3142 4.3142 6.0751 90.00 90.00 90.00
Space group P4mm (No. 99)
Inequivalent atoms, fractional coordinates:
Tm 0.0000 0.0000 0.0000 x1
Sc 0.5000 0.5000 0.5010 x1
Bi 0.5000 0.5000 0.0010 x1
Sb 0.0000 0.0000 0.5001 x1

---

Density functional theory data (GGA-PBE) for a geometry-optimized PmPu2Hg4 structure.

Output
Theoretical density ... 11.93 Mg/m³
Crystal system ... tetragonal
Magnetic moment ... 23.5 μB/cell
Electronic total energy ... -5.087 eV per atom
E_form ... -141 meV/atom

Lattice parameters (Å, degrees): 5.0303 5.0303 15.7929 90.00 90.00 90.00
Space group I4/mmm (No. 139)
Inequivalent atoms, fractional coordinates:
Pm 0.0000 0.0000 0.0000 x2
Pu 0.0000 0.0000 0.2542 x4
Hg 0.0000 0.5000 0.1179 x8